The following is a GGA-PBE calculation of La2TlVN after structural relaxation, from Alexandria.

Summary:
For the uncorrected formation energy, the calculation gives -3.2 eV/f.u. The theoretical density comes out at 7.8 g/cm3. Its spin magnetization is 2.0 μB per formula unit.

a = 5.4176 Å, b = 5.4176 Å, c = 3.9442 Å
α = 90.00°, β = 90.00°, γ = 90.00°
Sites, in units of the cell vectors:
La1 0.0000 0.5000 0.0000
La2 0.5000 0.0000 0.0000
Tl1 0.0000 0.0000 0.5000
V1 0.5000 0.5000 0.5000
N1 0.5000 0.5000 0.0000

The following is a GGA-PBE calculation of MgZr2RhO after structural relaxation, from Alexandria.

Summary:
For the uncorrected formation energy, the calculation gives -6.1 eV/f.u. The theoretical density comes out at 6.7 g/cm3. Its spin magnetization is 0.0 μB per formula unit.

a = 4.4777 Å, b = 4.4777 Å, c = 4.0290 Å
α = 90.00°, β = 90.00°, γ = 90.00°
Sites, in units of the cell vectors:
Mg1 0.0000 0.0000 0.0000
Zr1 0.0000 0.5000 0.5000
Zr2 0.5000 0.0000 0.5000
Rh1 0.5000 0.5000 0.0000
O1 0.0000 0.0000 0.5000

Which formula does entry 1 have?
La2TlVN

Which formula does entry 1 have?
La2TlVN

Which of these has the lowest spin magnetization?
MgZr2RhO

Which of these has the lowest theoretical density?
MgZr2RhO